Entry 1:
4
Lattice="4.206 -2.309 0.000 4.206 2.309 0.000 -3.550 0.000 4.255" Properties=species:S:1:pos:R:3 comment="AsP2Au GGA-PBE optimized geometry" e_tot_ev_per_atom=-4.5600 e_form_ev_per_atom=0.127 pbc="T T T"
As 0.000 0.000 0.000
P 5.009 0.000 0.221
P 2.930 0.000 2.839
Au -1.722 0.000 2.109

Entry 2:
8
Lattice="-2.594 2.594 8.762 2.594 -2.594 8.762 2.594 2.594 -8.762" Properties=species:S:1:pos:R:3 comment="SrMnAu2 GGA-PBE optimized geometry" e_tot_ev_per_atom=-4.4011 e_form_ev_per_atom=-0.050 pbc="T T T"
Sr 0.000 0.000 0.000
Sr 0.000 2.594 4.381
Mn 2.594 0.000 4.381
Mn 0.000 0.000 8.762
Au 1.297 -0.414 6.571
Au 2.180 1.297 2.190
Au 1.297 3.008 -2.190
Au 0.414 1.297 10.952

Entry 3:
5
Lattice="-2.430 2.430 4.504 2.430 -2.430 4.504 2.430 2.430 -4.504" Properties=species:S:1:pos:R:3 comment="SrAs2W2 GGA-PBE optimized geometry" e_tot_ev_per_atom=-7.3930 e_form_ev_per_atom=-0.016 pbc="T T T"
Sr 0.000 0.000 0.000
As 2.430 0.000 2.252
As 0.000 2.430 2.252
W 0.000 0.000 3.347
W 0.000 0.000 5.661

Entry 4:
4
Lattice="3.968 0.000 0.000 0.000 3.968 0.000 0.000 0.000 5.560" Properties=species:S:1:pos:R:3 comment="ScCd2As GGA-PBE optimized geometry" e_tot_ev_per_atom=-3.3789 e_form_ev_per_atom=-0.176 pbc="T T T"
Sc 0.000 0.000 0.000
Cd 1.984 1.984 1.400
Cd 1.984 1.984 4.160
As 0.000 0.000 2.780

Entry 5:
5
Lattice="5.222 0.000 0.000 0.000 5.222 0.000 0.000 0.000 5.209" Properties=species:S:1:pos:R:3 comment="Mn2ZnSnH GGA-PBE optimized geometry" e_tot_ev_per_atom=-4.1395 pbc="T T T"
Mn 0.000 2.611 0.000
Mn 2.611 0.000 0.000
Zn 0.000 0.000 2.605
Sn 0.000 0.000 0.000
H 2.611 2.611 2.605

Entry 6:
12
Lattice="6.536 -5.493 0.000 6.536 5.493 0.000 0.000 0.000 6.200" Properties=species:S:1:pos:R:3 comment="RbCd2Bi3 GGA-PBE optimized geometry" e_above_lowest_polymorph_mev_per_atom=51 e_tot_ev_per_atom=-2.4677 e_form_ev_per_atom=-0.061 pbc="T T T"
Rb 6.536 3.523 4.650
Rb 6.536 -3.523 1.550
Cd 3.688 0.000 0.000
Cd 3.688 0.000 3.100
Cd 9.384 0.000 0.000
Cd 9.384 0.000 3.100
Bi 3.866 2.990 1.550
Bi 9.206 2.990 1.550
Bi 6.536 0.651 1.550
Bi 6.536 -0.651 4.650
Bi 3.866 -2.990 4.650
Bi 9.206 -2.990 4.650

Entry 7:
5
Lattice="5.136 0.000 0.000 0.000 5.136 0.000 0.000 0.000 5.510" Properties=species:S:1:pos:R:3 comment="HfSbAsBr2 GGA-PBE optimized geometry" e_above_lowest_polymorph_mev_per_atom=0 e_tot_ev_per_atom=-4.5255 formation_energy_uncorrected_ev_per_atom=-0.111 pbc="T T T"
Hf 0.000 0.000 0.000
Sb 2.568 2.568 2.755
As 0.000 0.000 2.755
Br 0.000 2.568 0.000
Br 2.568 0.000 0.000

Entry 8:
14
Lattice="-4.437 4.437 4.483 4.437 -4.437 4.483 4.437 4.437 -4.483" Properties=species:S:1:pos:R:3 comment="Mg4Tl2Sn GGA-PBE optimized geometry" e_above_lowest_polymorph_mev_per_atom=0 e_tot_ev_per_atom=-2.1883 e_form_ev_per_atom=-0.029 pbc="T T T"
Mg 3.706 2.908 -1.897
Mg 5.966 0.731 0.344
Mg 0.731 2.908 -0.344
Mg 0.731 1.529 2.586
Mg 1.529 -0.731 6.381
Mg 3.706 1.529 4.139
Mg 2.908 5.168 1.897
Mg -1.529 3.706 4.828
Tl 2.218 -1.022 3.363
Tl 3.415 2.218 1.121
Tl 2.218 5.459 -1.121
Tl 1.022 2.218 5.604
Sn 0.000 0.000 0.000
Sn 0.000 4.437 2.242

Entry 9:
4
Lattice="0.000 2.766 2.766 2.766 0.000 2.766 2.766 2.766 0.000" Properties=species:S:1:pos:R:3 comment="TcCF2 GGA-PBE optimized geometry" e_above_lowest_polymorph_mev_per_atom=708 e_tot_ev_per_atom=-4.9235 formation_energy_uncorrected_ev_per_atom=0.910 pbc="T T T"
Tc 0.000 0.000 0.000
C 2.766 2.766 2.766
F 1.383 1.383 1.383
F 4.150 4.150 4.150

Entry 10:
4
Lattice="1.388 0.801 9.471 -1.388 0.801 9.471 0.000 -1.602 9.471" Properties=species:S:1:pos:R:3 comment="RePtW2 GGA-PBE optimized geometry" e_above_lowest_polymorph_mev_per_atom=236 e_tot_ev_per_atom=-10.9585 e_form_ev_per_atom=0.140 pbc="T T T"
Re 0.000 0.000 0.000
Pt 0.000 0.000 7.145
W 0.000 0.000 14.294
W 0.000 0.000 21.290

Entry 11:
6
Lattice="0.000 4.087 4.087 4.087 0.000 4.087 4.087 4.087 0.000" Properties=species:S:1:pos:R:3 comment="ZrHg4Au GGA-PBE optimized geometry" e_tot_ev_per_atom=-1.8285 e_form_ev_per_atom=0.344 pbc="T T T"
Zr 0.000 0.000 0.000
Hg 3.065 3.065 3.065
Hg 5.110 5.110 3.065
Hg 5.110 3.065 5.110
Hg 3.065 5.110 5.110
Au 6.131 6.131 6.131